# 1
Computed, not measured: crystalline Pm4SnRh at its relaxed geometry at the GGA-PBE level of DFT.

Properties
- space-group type = P2_1/m, No. 11
- N(E_F) (states/eV per atom) = 0.913
- formation energy from the elements (meV/atom) = -539
- size of the total moment (Bohr magnetons per cell) = 0.00
- DFT total energy (eV/atom) = -5.5989

Unit cell a=6.250 b=6.926 c=8.306 alpha=90.00 beta=92.98 gamma=90.00
Fractional coordinates of all 12 atoms:
Pm  0.107  0.003  0.218
Pm  0.107  0.497  0.218
Pm  0.346  0.250  0.620
Pm  0.392  0.750  0.913
Pm  0.608  0.250  0.087
Pm  0.654  0.750  0.380
Pm  0.893  0.503  0.782
Pm  0.893  0.997  0.782
Sn  0.200  0.750  0.548
Sn  0.800  0.250  0.452
Rh  0.191  0.250  0.941
Rh  0.809  0.750  0.059


# 2
Computed, not measured: crystalline TbErP at its relaxed geometry at the GGA-PBE level of DFT.

Properties
- space-group type = P3m1, No. 156
- N(E_F) (states/eV per atom) = 1.062
- formation energy from the elements (meV/atom) = -965
- size of the total moment (Bohr magnetons per cell) = 0.04
- DFT total energy (eV/atom) = -5.8326

Unit cell a=3.890 b=3.890 c=6.339 alpha=90.00 beta=90.00 gamma=120.00
Fractional coordinates of all 3 atoms:
Tb  0.000  0.000  0.000
Er  0.333  0.667  0.499
P  0.667  0.333  0.254


no.,mass density (g/cm3)
1,7.415
2,7.141